The following is a DFT calculation (PBE-GGA) of a relaxed structure of TbPm2Sb3Pt4.

a = 4.5168 Å, b = 4.5168 Å, c = 11.4789 Å
α = 90.00°, β = 90.00°, γ = 90.00°
Closest atoms and distances in Å follow each position.
Space group P-4m2 (No. 115)
Inequivalent atoms, fractional coordinates:
Tb  0.0000  0.0000  0.0000 [1 per cell]  4 Pt 2.80
Pm  0.0000  0.5000  0.7106 [2 per cell]  8 Pt 3.31-3.60, 4 Sb 3.32
Sb  0.0000  0.5000  0.3692 [2 per cell]  5 Pt 2.58-2.71
Sb  0.5000  0.5000  0.0000 [1 per cell]  4 Pt 2.80
Pt  0.0000  0.0000  0.5000 [1 per cell]  4 Sb 2.71
Pt  0.0000  0.5000  0.1442 [2 per cell]  3 Sb 2.58-2.80, 2 Tb 2.80
Pt  0.5000  0.5000  0.5000 [1 per cell]  4 Sb 2.71

Calculated values
The formation energy (no corrections) is -9.32 eV per formula unit. The spin magnetization is 0.0 μB per cell.